(1)
LiCeFeH6 | PBE | optimized geometry

Cell: 4.4354 4.4354 4.2286 Å, 90.00 90.00 120.00°
Space group P-6m2 (No. 187)
One atom of each set of equivalent atoms:
Li (0.0000, 0.0000, 0.0000) (multiplicity 1)
Ce (0.6667, 0.3333, 0.5000) (multiplicity 1)
Fe (0.3333, 0.6667, 0.0000) (multiplicity 1)
H (0.1826, 0.3652, 0.2574) (multiplicity 6)

Properties
- Theoretical density: 4.82 Mg/m³
- Energy: -39.3 eV per cell
- Magnetization: 0.42 μB/cell

(2)
LiBi2Sb | PBE | optimized geometry

Cell: 6.6776 6.6776 13.1154 Å, 90.00 90.00 90.00°
Space group I-42d (No. 122)
One atom of each set of equivalent atoms:
Li (0.0000, 0.0000, 0.0000) (multiplicity 4)
Bi (0.2292, 0.2500, 0.1250) (multiplicity 8)
Sb (0.0000, 0.0000, 0.5000) (multiplicity 4)

Properties
- Theoretical density: 6.21 Mg/m³
- ΔE_f (raw): 0.05 eV/atom
- Energy: -54.4 eV per cell
- Magnetization: 0.00 μB/cell

(3)
MnTl2As | PBE | optimized geometry

Cell: 4.5262 4.7980 8.4550 Å, 90.00 90.00 90.00°
Space group Cmmm (No. 65)
One atom of each set of equivalent atoms:
Mn (0.0000, 0.0000, 0.0000) (multiplicity 2)
Tl (0.0000, 0.5000, 0.2327) (multiplicity 4)
As (0.0000, 0.0000, 0.5000) (multiplicity 2)

Properties
- Theoretical density: 9.74 Mg/m³
- Energy: -33.2 eV per cell
- Energy above the lowest structure with this stoichiometry: 408 meV/atom
- Magnetization: 8.57 μB/cell
- Energy of formation: 0.49 eV per atom

(4)
Zn2SbCl | PBE | optimized geometry

Cell: 3.0372 4.8839 12.0828 Å, 90.00 90.00 90.00°
Space group Immm (No. 71)
One atom of each set of equivalent atoms:
Zn (0.0000, 0.0000, 0.2261) (multiplicity 4)
Sb (0.0000, 0.5000, 0.5000) (multiplicity 2)
Cl (0.0000, 0.5000, 0.0000) (multiplicity 2)

Properties
- Theoretical density: 5.34 Mg/m³
- ΔE_f (raw): 0.11 eV/atom
- Energy: -16.1 eV per cell
- Energy above the lowest structure with this stoichiometry: 462 meV/atom
- Magnetization: 0.00 μB/cell

(5)
PmEr2CdHg4 | PBE | optimized geometry

Cell: 5.1133 5.1133 26.6312 Å, 90.00 90.00 120.00°
Space group R-3m (No. 166, hexagonal axes)
One atom of each set of equivalent atoms:
Pm (0.0000, 0.0000, 0.0000) (multiplicity 3)
Er (0.0000, 0.0000, 0.2409) (multiplicity 6)
Cd (0.0000, 0.0000, 0.5000) (multiplicity 3)
Hg (0.0000, 0.0000, 0.1238) (multiplicity 6)
Hg (0.0000, 0.0000, 0.3762) (multiplicity 6)

Properties
- Theoretical density: 11.52 Mg/m³
- Energy: -57.7 eV per cell
- Magnetization: 0.00 μB/cell
- Energy of formation: -0.40 eV per atom

(6)
TaSb2Cl | PBE | optimized geometry

Cell: 3.5691 4.9705 11.6125 Å, 90.00 90.00 90.00°
Space group Cmm2 (No. 35)
One atom of each set of equivalent atoms:
Ta (0.0000, 0.0000, 0.0000) (multiplicity 2)
Sb (0.0000, 0.0000, 0.5012) (multiplicity 2)
Sb (0.0000, 0.5000, 0.1998) (multiplicity 2)
Cl (0.0000, 0.5000, 0.8414) (multiplicity 2)

Properties
- Theoretical density: 7.41 Mg/m³
- ΔE_f (raw): 0.06 eV/atom
- Energy: -43.4 eV per cell
- Energy above the lowest structure with this stoichiometry: 234 meV/atom
- Magnetization: 0.00 μB/cell

(7)
LaY2Rh | PBE | optimized geometry

Cell: 4.3422 4.3422 11.1559 Å, 90.00 90.00 90.00°
Space group I4/mmm (No. 139)
One atom of each set of equivalent atoms:
La (0.0000, 0.0000, 0.0000) (multiplicity 2)
Y (0.0000, 0.5000, 0.2500) (multiplicity 4)
Rh (0.0000, 0.0000, 0.5000) (multiplicity 2)

Properties
- Theoretical density: 6.63 Mg/m³
- Energy: -51.1 eV per cell
- Energy above the lowest structure with this stoichiometry: 405 meV/atom
- Magnetization: 0.24 μB/cell
- Energy of formation: -0.09 eV per atom

(8)
Sc2PRu | PBE | optimized geometry

Cell: 6.9855 6.9855 5.9978 Å, 90.00 90.00 90.00°
Space group I-42d (No. 122)
One atom of each set of equivalent atoms:
Sc (0.2458, 0.2500, 0.1250) (multiplicity 8)
P (0.0000, 0.0000, 0.5000) (multiplicity 4)
Ru (0.0000, 0.0000, 0.0000) (multiplicity 4)

Properties
- Theoretical density: 5.04 Mg/m³
- Energy: -114.9 eV per cell
- Magnetization: 0.00 μB/cell
- Energy of formation: -0.34 eV per atom